Record 1
Ta2PH: relaxed, PBE.

Calculated values
Raw total energy (hartree per atom): -0.31785

a b c (Å): 6.8163 6.6050 4.8954
angles (deg): 90.00 110.37 90.00
With the nearest neighbours (Å) after each atom.
Space group Cm (No. 8)
Asymmetric unit:
Ta (0.0000, 0.0000, 0.0000)  1 H 1.91
Ta (0.0084, 0.5000, 0.0062)  1 H 1.91
Ta (0.1539, 0.2528, 0.6029)  2 H 2.00
P (0.3029, 0.2488, 0.1982)  7 Ta 2.52-2.73, 2 H 2.57-2.58
H (0.3183, 0.0000, 0.6117)  3 Ta 1.91-2.00
H (0.4933, 0.5000, 0.6068)  3 Ta 1.91-2.00

***

Record 2
UPH: relaxed, PBE.

Calculated values
Raw total energy (hartree per atom): -0.27110

a b c (Å): 3.7870 3.7870 3.6645
angles (deg): 90.00 90.00 120.00
With the nearest neighbours (Å) after each atom.
Space group P-6m2 (No. 187)
Asymmetric unit:
U (0.0000, 0.0000, 0.0000)  3 H 2.19
P (0.6667, 0.3333, 0.5000)  6 U 2.85, 6 H 2.85
H (0.3333, 0.6667, 0.0000)  3 U 2.19

***

Record 3
PaH: relaxed, PBE.

Calculated values
Distance to the lowest polymorph of the same formula (kJ/mol of atoms): 0.0

a b c (Å): 4.8972 4.8972 4.8972
angles (deg): 90.00 90.00 90.00
With the nearest neighbours (Å) after each atom.
Space group Fm-3m (No. 225)
Asymmetric unit:
Pa (0.0000, 0.0000, 0.0000)  6 H 2.45
H (0.0000, 0.0000, 0.5000)  6 Pa 2.45

***

Record 4
PaH: relaxed, PBE.

Calculated values
Distance to the lowest polymorph of the same formula (kJ/mol of atoms): 11.9

a b c (Å): 5.0520 5.0520 5.0520
angles (deg): 90.00 90.00 90.00
With the nearest neighbours (Å) after each atom.
Space group F-43m (No. 216)
Asymmetric unit:
Pa (0.0000, 0.0000, 0.0000)  4 H 2.19
H (0.2500, 0.2500, 0.2500)  4 Pa 2.19

***

Record 5
PaH: relaxed, PBE.

Calculated values
Distance to the lowest polymorph of the same formula (kJ/mol of atoms): 10.0

a b c (Å): 3.1849 3.1849 3.2144
angles (deg): 90.00 90.00 120.00
With the nearest neighbours (Å) after each atom.
Space group P-6m2 (No. 187)
Asymmetric unit:
Pa (0.0000, 0.0000, 0.0000)  6 H 2.44
H (0.3333, 0.6667, 0.5000)  6 Pa 2.44

***

Record 6
PaTe2H: relaxed, PBE.

Calculated values
Raw total energy (hartree per atom): -0.20491

a b c (Å): 6.9633 4.0201 7.8527
angles (deg): 90.00 107.29 90.00
With the nearest neighbours (Å) after each atom.
Space group Cm (No. 8)
Asymmetric unit:
Pa (0.0000, 0.0000, 0.0000)  3 H 2.32
Te (0.2434, 0.0000, 0.7317)  3 Pa 3.07, 3 H 3.07
Te (0.4233, 0.0000, 0.2685)  3 H 3.07, 3 Pa 3.07
H (0.1668, 0.5000, 0.0004)  3 Pa 2.32

***

Record 7
H6PdPb2: relaxed, PBE.

Calculated values
Raw total energy (hartree per atom): -0.12150

a b c (Å): 7.5530 7.5530 7.5530
angles (deg): 90.00 90.00 90.00
With the nearest neighbours (Å) after each atom.
Space group Fm-3m (No. 225)
Asymmetric unit:
H (0.0000, 0.0000, 0.2333)  1 Pd 1.76
Pd (0.0000, 0.0000, 0.0000)  6 H 1.76
Pb (0.2500, 0.2500, 0.2500)  12 H 2.67

***

Record 8
Zr3HPb: relaxed, PBE.

Calculated values
Distance to the lowest polymorph of the same formula (kJ/mol of atoms): 0.0

a b c (Å): 4.4414 4.4414 4.6819
angles (deg): 90.00 90.00 90.00
With the nearest neighbours (Å) after each atom.
Space group P4/mmm (No. 123)
Asymmetric unit:
Zr (0.0000, 0.0000, 0.0000)  2 H 2.34
Zr (0.0000, 0.5000, 0.5000)  2 H 2.22
H (0.0000, 0.0000, 0.5000)  6 Zr 2.22-2.34
Pb (0.5000, 0.5000, 0.0000)  12 Zr 3.14-3.23

***

Record 9
Zr3HPb: relaxed, PBE.

Calculated values
Distance to the lowest polymorph of the same formula (kJ/mol of atoms): 0.3

a b c (Å): 6.3924 9.0418 6.3968
angles (deg): 90.00 90.00 90.00
With the nearest neighbours (Å) after each atom.
Space group Imma (No. 74)
Asymmetric unit:
Zr (0.0000, 0.2500, 0.0060)  2 H 2.26
Zr (0.2500, 0.0035, 0.2500)  2 H 2.26
H (0.0000, 0.0000, 0.0000)  6 Zr 2.26
Pb (0.0000, 0.2500, 0.5076)  12 Zr 3.19-3.21

***

Record 10
Zr3HPb: relaxed, PBE.

Calculated values
Distance to the lowest polymorph of the same formula (kJ/mol of atoms): 0.3

a b c (Å): 4.5225 4.5225 4.5225
angles (deg): 90.00 90.00 90.00
With the nearest neighbours (Å) after each atom.
Space group Pm-3m (No. 221)
Asymmetric unit:
Zr (0.0000, 0.0000, 0.5000)  2 H 2.26
H (0.0000, 0.0000, 0.0000)  6 Zr 2.26
Pb (0.5000, 0.5000, 0.5000)  12 Zr 3.20

***

Record 11
HPd: relaxed, PBE.

Calculated values
Distance to the lowest polymorph of the same formula (kJ/mol of atoms): 3.6

a b c (Å): 4.1111 4.1111 4.1111
angles (deg): 90.00 90.00 90.00
With the nearest neighbours (Å) after each atom.
Space group Fm-3m (No. 225)
Asymmetric unit:
H (0.0000, 0.0000, 0.0000)  6 Pd 2.06
Pd (0.0000, 0.0000, 0.5000)  6 H 2.06

***

Record 12
HPd: relaxed, PBE.

Calculated values
Distance to the lowest polymorph of the same formula (kJ/mol of atoms): 1.6

a b c (Å): 2.8965 2.8965 4.4976
angles (deg): 90.00 90.00 90.00
With the nearest neighbours (Å) after each atom.
Space group P4_2/mmc (No. 131)
Asymmetric unit:
H (0.0000, 0.0000, 0.2500)  4 Pd 1.83
Pd (0.0000, 0.5000, 0.0000)  4 H 1.83

***

Record 13
HPd: relaxed, PBE.

Calculated values
Distance to the lowest polymorph of the same formula (kJ/mol of atoms): 19.8

a b c (Å): 2.7474 2.7474 2.7335
angles (deg): 90.00 90.00 120.00
With the nearest neighbours (Å) after each atom.
Space group P-6m2 (No. 187)
Asymmetric unit:
H (0.0000, 0.0000, 0.0000)  6 Pd 2.09
Pd (0.6667, 0.3333, 0.5000)  6 H 2.09

***

Record 14
H3Pd: relaxed, PBE.

Calculated values
Raw total energy (hartree per atom): -0.12934

a b c (Å): 5.0493 5.0493 7.6175
angles (deg): 90.00 90.00 120.00
With the nearest neighbours (Å) after each atom.
Space group P6_3cm (No. 185)
Asymmetric unit:
H (0.0000, 0.0000, 0.0000)  3 Pd 1.88
H (0.0000, 0.3325, 0.7895)  3 Pd 1.85, 3 H 1.89-1.93
H (0.0000, 0.3401, 0.1698)  1 Pd 1.68
H (0.3333, 0.6667, 0.0010)  3 Pd 1.88, 3 H 2.11
Pd (0.0000, 0.3337, 0.3904)  7 H 1.68-1.88

***

Record 15
HPd2: relaxed, PBE.

Calculated values
Raw total energy (hartree per atom): -0.14640

a b c (Å): 7.9002 7.9002 7.9002
angles (deg): 90.00 90.00 90.00
With the nearest neighbours (Å) after each atom.
Space group Fd-3m (No. 227, origin choice 2)
Asymmetric unit:
H (0.1250, 0.1250, 0.1250)  4 Pd 1.71
Pd (0.0000, 0.0000, 0.0000)  2 H 1.71

***

Record 16
HPd5: relaxed, PBE.

Calculated values
Raw total energy (hartree per atom): -0.15236

a b c (Å): 5.0911 5.0911 4.5017
angles (deg): 90.00 90.00 120.00
With the nearest neighbours (Å) after each atom.
Space group P6/mmm (No. 191)
Asymmetric unit:
H (0.0000, 0.0000, 0.0000)  6 Pd 2.94
Pd (0.0000, 0.5000, 0.5000)  8 Pd 2.55-2.69
Pd (0.3333, 0.6667, 0.0000)  9 Pd 2.69-2.94, 3 H 2.94

***

Record 17
HPd: relaxed, PBE.

Calculated values
Distance to the lowest polymorph of the same formula (kJ/mol of atoms): 0.0

a b c (Å): 4.2176 4.2176 4.2176
angles (deg): 90.00 90.00 90.00
With the nearest neighbours (Å) after each atom.
Space group F-43m (No. 216)
Asymmetric unit:
H (0.0000, 0.0000, 0.0000)  4 Pd 1.83
Pd (0.2500, 0.2500, 0.7500)  4 H 1.83

***

Record 18
PrH3Pd: relaxed, PBE.

Calculated values
Raw total energy (hartree per atom): -0.16638

a b c (Å): 11.9754 3.9158 4.9704
angles (deg): 90.00 93.59 90.00
With the nearest neighbours (Å) after each atom.
Space group Cm (No. 8)
Asymmetric unit:
Pr (0.0000, 0.0000, 0.0000)  7 H 2.37-2.60
Pr (0.2314, 0.5000, 0.5044)  8 H 2.37-2.61
H (0.0604, 0.5000, 0.2345)  1 Pd 1.84
H (0.1643, 0.0000, 0.7430)  1 Pd 1.83
H (0.1735, 0.0000, 0.2671)  1 Pd 1.82
H (0.2860, 0.5000, 0.0210)  2 Pd 1.96
H (0.3761, 0.0000, 0.7672)  2 Pd 1.76
H (0.4471, 0.5000, 0.4852)  2 Pd 1.96
Pd (0.2757, 0.0000, 0.0120)  5 H 1.76-1.96
Pd (0.4462, 0.0000, 0.4664)  4 H 1.76-1.96

***

Record 19
PrSnH2Pd: relaxed, PBE.

Calculated values
Raw total energy (hartree per atom): -0.17445

a b c (Å): 8.5155 4.5836 7.9221
angles (deg): 90.00 90.00 90.00
With the nearest neighbours (Å) after each atom.
Space group Pnma (No. 62)
Asymmetric unit:
Pr (0.0000, 0.2500, 0.2502)  6 H 2.67
Sn (0.2500, 0.2500, 0.5833)  2 H 2.50-2.51, 3 Pd 2.64
H (0.0441, 0.2500, 0.9165)  1 Pd 1.75
H (0.0452, 0.7500, 0.4166)  1 Pd 1.75
Pd (0.2495, 0.2500, 0.9170)  2 H 1.75

***

Record 20
Tl2H6PdPt: relaxed, PBE.

Calculated values
Raw total energy (hartree per atom): -0.12950

a b c (Å): 7.7115 7.7115 7.7115
angles (deg): 90.00 90.00 90.00
With the nearest neighbours (Å) after each atom.
Space group Fm-3m (No. 225)
Asymmetric unit:
Tl (0.2500, 0.2500, 0.2500)  12 H 2.73
H (0.0000, 0.0000, 0.2282)  1 Pt 1.76
Pd (0.0000, 0.0000, 0.5000)  6 H 2.10
Pt (0.0000, 0.0000, 0.0000)  6 H 1.76

***

Record 21
RbTlH2Pd: relaxed, PBE.

Calculated values
Raw total energy (hartree per atom): -0.11585

a b c (Å): 3.9184 3.9184 13.3544
angles (deg): 90.00 90.00 90.00
With the nearest neighbours (Å) after each atom.
Space group I4mm (No. 107)
Asymmetric unit:
Rb (0.0000, 0.0000, 0.0000)  1 H 2.54
Tl (0.0000, 0.0000, 0.7357)  4 H 2.84, 4 Pd 2.96
H (0.0000, 0.0000, 0.1904)  1 Pd 1.65
H (0.0000, 0.0000, 0.4417)  1 Pd 1.71
Pd (0.0000, 0.0000, 0.3139)  2 H 1.65-1.71

***

Record 22
SnH6Pd2: relaxed, PBE.

Calculated values
Raw total energy (hartree per atom): -0.11691

a b c (Å): 6.5542 6.5542 6.5542
angles (deg): 90.00 90.00 90.00
With the nearest neighbours (Å) after each atom.
Space group Fm-3m (No. 225)
Asymmetric unit:
Sn (0.0000, 0.0000, 0.0000)  6 H 2.34
H (0.0000, 0.0000, 0.3565)  4 H 1.33
Pd (0.2500, 0.2500, 0.2500)  12 H 2.42

***

Record 23
SrH3Pd: relaxed, PBE.

Calculated values
Raw total energy (hartree per atom): -0.14392

a b c (Å): 5.3950 5.3950 7.6007
angles (deg): 90.00 90.00 90.00
With the nearest neighbours (Å) after each atom.
Space group I4/mcm (No. 140)
Asymmetric unit:
Sr (0.0000, 0.0000, 0.2500)  12 H 2.69-2.70
H (0.0000, 0.5000, 0.2500)  2 Pd 1.90
H (0.2488, 0.2512, 0.0000)  2 Pd 1.90-1.92
Pd (0.0000, 0.5000, 0.0000)  6 H 1.90-1.92

***

Record 24
Sr3H6Pd: relaxed, PBE.

Calculated values
Raw total energy (hartree per atom): -0.11861

a b c (Å): 8.3554 8.3554 8.3554
angles (deg): 90.00 90.00 90.00
With the nearest neighbours (Å) after each atom.
Space group Fm-3m (No. 225)
Asymmetric unit:
Sr (0.0000, 0.0000, 0.0000)  6 H 2.33
Sr (0.2500, 0.2500, 0.2500)  12 H 2.96
H (0.0000, 0.0000, 0.2786)  1 Pd 1.85
Pd (0.0000, 0.0000, 0.5000)  6 H 1.85

***

Record 25
SrH3Pd: relaxed, PBE.

Calculated values
Raw total energy (hartree per atom): -0.14393

a b c (Å): 3.8121 3.8121 3.8121
angles (deg): 90.00 90.00 90.00
With the nearest neighbours (Å) after each atom.
Space group Pm-3m (No. 221)
Asymmetric unit:
Sr (0.0000, 0.0000, 0.0000)  12 H 2.70
H (0.0000, 0.5000, 0.5000)  2 Pd 1.91
Pd (0.5000, 0.5000, 0.5000)  6 H 1.91

***

Record 26
Sr2TcH6Pd: relaxed, PBE.

Calculated values
Raw total energy (hartree per atom): -0.15666

a b c (Å): 7.6199 7.6199 7.6199
angles (deg): 90.00 90.00 90.00
With the nearest neighbours (Å) after each atom.
Space group Fm-3m (No. 225)
Asymmetric unit:
Sr (0.2500, 0.2500, 0.2500)  12 H 2.69
Tc (0.0000, 0.0000, 0.0000)  6 H 1.85
H (0.0000, 0.0000, 0.2434)  1 Tc 1.85, 1 Pd 1.96
Pd (0.0000, 0.0000, 0.5000)  6 H 1.96

***

Computed calculated volume (A^3/atom) in order:
12.91; 15.17; 14.68; 16.12; 14.12; 26.24; 11.97; 18.47; 18.49; 18.50; 8.69; 9.43; 8.93; 7.01; 20.55; 16.84; 9.38; 11.63; 15.46; 11.46; 20.50; 7.82; 11.06; 14.58; 11.08; 11.06